# PBE KInSi3, relaxed
# E = -15.326 eV/cell
# volume = 150.4 Å³ per cell
# energy above the lowest structure with this stoichiometry = 0 meV per atom
# uncorrected formation energy = 0.956 eV per atom
# Fermi-level density of states = 0.84 states/eV/atom
data_KInSi3
_chemical_formula_sum 'K1 In1 Si3'
_symmetry_space_group_name_H-M 'P 1'
_symmetry_Int_Tables_number 1
_cell_length_a 5.318
_cell_length_b 5.318
_cell_length_c 5.318
_cell_angle_alpha 90.00
_cell_angle_beta 90.00
_cell_angle_gamma 90.00
loop_
_symmetry_equiv_pos_as_xyz
'x,y,z'
loop_
_atom_site_label
_atom_site_type_symbol
_atom_site_fract_x
_atom_site_fract_y
_atom_site_fract_z
_atom_site_occupancy
K1 K 0.500 0.500 0.500 1
Si1 Si 0.000 0.500 0.000 1
Si2 Si 0.000 0.000 0.500 1
Si3 Si 0.500 0.000 0.000 1
In1 In 0.000 0.000 0.000 1